Record 1
YSb2TeBr | Alexandria | GGA-PBEsol | optimized geometry; SG = No. 123; uncorrected formation energy = 0.164 eV per atom; distance to the lowest polymorph of the same formula = 0 meV/atom; energy = -4.103 eV per atom
1.0
-1.179 -1.084 -5.348
-1.371 -5.399 1.397
-5.443 1.609 0.874
Y Sb Te Br
1 2 1 1
Direct
0.000 0.000 0.000
0.000 0.000 0.500
0.000 0.500 0.000
0.500 0.000 0.000
0.500 0.500 0.500

---

Record 2
Pd | Alexandria | GGA-PBEsol | optimized geometry; SG = No. 229; DFT formation energy = 0.051 eV per atom; distance to the lowest polymorph of the same formula = 51 meV/atom; energy = -5.908 eV per atom
1.0
2.666 0.000 0.000
-0.889 2.514 0.000
-0.889 -1.257 2.177
Pd
1
Direct
0.000 0.000 0.000

---

Record 3
CsKBe2Cd | Alexandria | GGA-PBEsol | optimized geometry; SG = No. 123; DFT formation energy = 1.534 eV per atom; energy = -0.721 eV per atom
1.0
-3.582 -4.334 -1.270
4.024 -2.327 -3.410
2.379 -3.484 5.184
Cs Be K Cd
1 2 1 1
Direct
0.000 0.000 0.500
0.000 0.500 0.000
0.500 0.000 0.000
0.000 0.000 0.000
0.500 0.500 0.500

---

Record 4
ScFe2Ag | Alexandria | GGA-PBEsol | optimized geometry; SG = No. 12; DFT formation energy = 0.285 eV per atom; energy = -6.676 eV per atom
1.0
2.724 0.021 0.000
-0.834 4.940 0.000
-0.945 -2.480 4.316
Ag Fe Sc
1 2 1
Direct
0.000 0.500 0.000
0.000 0.000 0.500
0.500 0.500 0.500
0.500 0.000 0.000

---

Record 5
As2Pb2Au | Alexandria | GGA-PBEsol | optimized geometry; SG = No. 127; DFT formation energy = 0.048 eV per atom; energy = -4.379 eV per atom
1.0
-2.209 3.316 -4.339
-6.007 -1.961 1.558
-0.567 5.009 4.117
Pb As Au
4 4 2
Direct
0.500 0.309 0.809
0.500 0.809 0.691
0.500 0.691 0.191
0.500 0.191 0.309
0.000 0.366 0.866
0.000 0.866 0.634
0.000 0.634 0.134
0.000 0.134 0.366
0.000 0.000 0.000
0.000 0.500 0.500

---

Record 6
K2LiSiSb | Alexandria | GGA-PBEsol | optimized geometry; SG = No. 123; uncorrected formation energy = 0.471 eV per atom; energy = -2.436 eV per atom
1.0
4.818 0.000 0.000
0.000 6.145 0.000
0.000 0.000 6.145
Sb K Si Li
1 2 1 1
Direct
0.500 0.500 0.500
0.000 0.000 0.500
0.000 0.500 0.000
0.000 0.000 0.000
0.500 0.000 0.000

---

Record 7
RbGeSb2Pt | Alexandria | GGA-PBEsol | optimized geometry; SG = No. 123; uncorrected formation energy = 0.979 eV per atom; energy = -3.430 eV per atom
1.0
5.203 0.000 0.000
0.000 5.203 0.000
0.000 0.000 5.749
Sb Ge Rb Pt
2 1 1 1
Direct
0.000 0.500 0.000
0.500 0.000 0.000
0.000 0.000 0.000
0.000 0.000 0.500
0.500 0.500 0.500

---

Record 8
In2ReTe | Alexandria | GGA-PBEsol | optimized geometry; SG = No. 139; uncorrected formation energy = 0.778 eV per atom; energy = -4.928 eV per atom
1.0
-0.414 -1.742 3.832
-2.168 -3.213 -1.695
5.160 0.194 -1.689
In Re Te
2 1 1
Direct
0.750 0.250 0.500
0.250 0.750 0.500
0.500 0.500 0.000
0.000 0.000 0.000

---

Record 9
CsSr3Pd | Alexandria | GGA-PBEsol | optimized geometry; SG = No. 47; DFT formation energy = -0.208 eV per atom; energy = -2.692 eV per atom
1.0
4.493 0.000 0.000
0.000 6.016 0.000
0.000 0.000 9.275
Cs Sr Pd
1 3 1
Direct
0.500 0.500 0.000
0.000 0.000 0.288
0.000 0.000 0.712
0.500 0.500 0.500
0.500 0.000 0.500

---

Record 10
Ba2SrCa | Alexandria | GGA-PBEsol | optimized geometry; SG = No. 99; DFT formation energy = 0.017 eV per atom; distance to the lowest polymorph of the same formula = 0 meV/atom; energy = -2.051 eV per atom
1.0
-3.156 3.409 1.061
-3.567 -2.954 -1.119
-0.274 -2.950 8.664
Sr Ca Ba
1 1 2
Direct
0.500 0.500 0.734
0.000 0.000 0.507
0.000 0.000 0.993
0.500 0.500 0.266

---

Record 11
ZnCr4Co | Alexandria | GGA-PBEsol | optimized geometry; SG = No. 216; DFT formation energy = 0.316 eV per atom; energy = -8.065 eV per atom
1.0
-0.893 2.095 4.021
-3.591 -1.364 2.568
0.721 -2.235 3.980
Co Cr Zn
1 4 1
Direct
0.000 0.000 0.000
0.376 0.376 0.376
0.376 0.376 0.871
0.871 0.376 0.376
0.376 0.871 0.376
0.750 0.750 0.750

---

Record 12
MgAlVS4 | Alexandria | GGA-PBEsol | optimized geometry; SG = No. 74; uncorrected formation energy = -1.099 eV per atom; energy = -5.810 eV per atom
1.0
-6.896 -0.184 1.110
4.095 -5.367 2.565
0.319 6.442 3.048
S Mg Al V
8 2 2 2
Direct
0.732 0.464 0.715
0.252 0.965 0.733
0.713 0.965 0.733
0.268 0.536 0.751
0.287 0.035 0.267
0.732 0.464 0.249
0.268 0.536 0.285
0.748 0.035 0.267
0.875 0.750 0.125
0.125 0.250 0.875
0.500 0.000 0.000
0.500 0.000 0.500
0.500 0.500 0.500
0.000 0.500 0.500

---

Record 13
Li2CrTc | Alexandria | GGA-PBEsol | optimized geometry; SG = No. 6; DFT formation energy = 0.329 eV per atom; distance to the lowest polymorph of the same formula = 0 meV/atom; energy = -6.032 eV per atom
1.0
2.430 0.000 0.002
0.000 4.062 0.000
-0.712 0.000 5.406
Cr Li Tc
1 2 1
Direct
0.260 0.500 0.716
0.983 0.000 0.008
0.777 0.500 0.243
0.481 0.000 0.533

---

Record 14
BaSr2Ag | Alexandria | GGA-PBEsol | optimized geometry; SG = No. 71; DFT formation energy = -0.073 eV per atom; distance to the lowest polymorph of the same formula = 29 meV/atom; energy = -2.358 eV per atom
1.0
4.067 0.000 0.000
0.000 6.262 0.000
-2.034 -3.131 6.532
Sr Ba Ag
2 1 1
Direct
0.810 0.810 0.621
0.190 0.190 0.379
0.000 0.500 0.000
0.500 0.000 0.000

---

Record 15
Ba2AgW | Alexandria | GGA-PBEsol | optimized geometry; SG = No. 44; DFT formation energy = 0.936 eV per atom; distance to the lowest polymorph of the same formula = 57 meV/atom; energy = -4.419 eV per atom
1.0
-1.012 0.391 3.148
-4.403 -3.376 -0.996
5.997 -3.285 0.575
Ag Ba W
1 2 1
Direct
0.212 0.712 0.423
0.977 0.977 0.954
0.775 0.275 0.550
0.536 0.536 0.073

---

Record 16
Cr2ReP | Alexandria | GGA-PBEsol | optimized geometry; SG = No. 44; DFT formation energy = -0.129 eV per atom; energy = -10.031 eV per atom
1.0
2.934 0.000 0.000
0.000 3.979 0.000
-1.467 -1.989 4.063
Cr P Re
2 1 1
Direct
0.004 0.004 0.008
0.763 0.263 0.527
0.493 0.493 0.985
0.240 0.740 0.481

---

Record 17
YHg2Rh | Alexandria | GGA-PBEsol | optimized geometry; SG = No. 38; DFT formation energy = -0.388 eV per atom; energy = -4.412 eV per atom
1.0
3.700 0.000 -0.014
0.000 4.004 0.000
-1.829 0.000 5.706
Y Rh Hg
1 1 2
Direct
0.405 0.500 0.685
0.839 0.000 0.554
0.078 0.000 0.031
0.678 0.500 0.231

---

Record 18
KLi2Tl2 | Alexandria | GGA-PBEsol | optimized geometry; SG = No. 127; DFT formation energy = -0.142 eV per atom; energy = -2.207 eV per atom
1.0
3.246 0.000 0.000
0.000 8.858 0.000
0.000 0.000 8.858
Tl K Li
4 2 4
Direct
0.000 0.377 0.877
0.000 0.877 0.623
0.000 0.623 0.123
0.000 0.123 0.377
0.000 0.000 0.000
0.000 0.500 0.500
0.500 0.169 0.669
0.500 0.669 0.831
0.500 0.831 0.331
0.500 0.331 0.169

---

Record 19
Mg2FeBr | Alexandria | GGA-PBEsol | optimized geometry; SG = No. 225; uncorrected formation energy = 0.454 eV per atom; distance to the lowest polymorph of the same formula = 461 meV/atom; energy = -3.113 eV per atom
1.0
4.823 0.000 0.000
2.411 4.177 0.000
2.411 1.392 3.938
Br Fe Mg
1 1 2
Direct
0.000 0.000 0.000
0.500 0.500 0.500
0.250 0.250 0.250
0.750 0.750 0.750

---

Record 20
NaTbTl2 | Alexandria | GGA-PBEsol | optimized geometry; SG = No. 225; DFT formation energy = -0.283 eV per atom; energy = -3.201 eV per atom
1.0
5.236 0.000 0.000
2.618 4.534 0.000
2.618 1.511 4.275
Na Tl Tb
1 2 1
Direct
0.500 0.500 0.500
0.750 0.750 0.750
0.250 0.250 0.250
0.000 0.000 0.000

---

Record 21
CrNiW | Alexandria | GGA-PBEsol | optimized geometry; SG = No. 42; DFT formation energy = 0.147 eV per atom; distance to the lowest polymorph of the same formula = 0 meV/atom; energy = -9.922 eV per atom
1.0
2.558 0.023 0.000
-0.591 2.488 0.000
-0.983 -1.255 5.905
Cr Ni W
1 1 1
Direct
0.008 0.008 0.017
0.661 0.661 0.321
0.331 0.331 0.662

---

Record 22
GaSnTeI2 | Alexandria | GGA-PBEsol | optimized geometry; SG = No. 123; uncorrected formation energy = 0.058 eV per atom; energy = -2.874 eV per atom
1.0
5.436 0.000 0.000
0.000 5.436 0.000
0.000 0.000 5.497
I Te Sn Ga
2 1 1 1
Direct
0.000 0.500 0.000
0.500 0.000 0.000
0.000 0.000 0.500
0.500 0.500 0.500
0.000 0.000 0.000

---

Record 23
SrMo2Au | Alexandria | GGA-PBEsol | optimized geometry; SG = No. 123; DFT formation energy = 0.771 eV per atom; distance to the lowest polymorph of the same formula = 156 meV/atom; energy = -6.554 eV per atom
1.0
2.749 0.000 0.000
0.000 2.749 0.000
0.000 0.000 9.755
Au Mo Sr
1 2 1
Direct
0.500 0.500 0.500
0.000 0.000 0.719
0.000 0.000 0.281
0.500 0.500 0.000

---

Record 24
ZnNi2Ir | Alexandria | GGA-PBEsol | optimized geometry; SG = No. 8; DFT formation energy = -0.105 eV per atom; energy = -6.035 eV per atom
1.0
2.616 0.000 0.000
0.000 4.407 -0.005
-1.308 -0.815 4.159
Ni Zn Ir
2 1 1
Direct
0.001 0.995 0.002
0.748 0.256 0.496
0.497 0.481 0.995
0.254 0.768 0.507

---

Record 25
VH6SO10 | Alexandria | GGA-PBEsol | optimized geometry; SG = No. 2; energy = -6.006 eV per atom
1.0
7.549 0.403 0.040
2.844 6.786 -0.342
2.101 0.575 7.566
H S O V
12 2 20 2
Direct
0.513 0.524 0.826
0.487 0.476 0.174
0.920 0.431 0.904
0.080 0.569 0.096
0.877 0.220 0.459
0.123 0.780 0.541
0.051 0.132 0.768
0.949 0.868 0.232
0.692 0.177 0.465
0.308 0.823 0.535
0.352 0.418 0.888
0.648 0.582 0.112
0.427 0.927 0.795
0.573 0.073 0.205
0.577 0.720 0.773
0.423 0.280 0.227
0.318 0.979 0.988
0.682 0.021 0.012
0.267 0.970 0.703
0.733 0.030 0.297
0.900 0.228 0.807
0.100 0.772 0.193
0.059 0.474 0.548
0.941 0.526 0.452
0.513 0.077 0.731
0.487 0.923 0.269
0.096 0.456 0.026
0.904 0.544 0.974
0.914 0.903 0.696
0.086 0.097 0.304
0.737 0.246 0.535
0.263 0.754 0.465
0.498 0.395 0.854
0.502 0.605 0.146
0.746 0.116 0.779
0.254 0.884 0.221

---

Record 26
CuPdPb2F | Alexandria | GGA-PBEsol | optimized geometry; SG = No. 123; uncorrected formation energy = 0.121 eV per atom; energy = -3.923 eV per atom
1.0
4.588 0.000 0.000
0.000 5.036 0.000
0.000 0.000 5.036
Pb Cu Pd F
2 1 1 1
Direct
0.000 0.000 0.500
0.000 0.500 0.000
0.000 0.000 0.000
0.500 0.000 0.000
0.500 0.500 0.500

---

Record 27
KTaSi | Alexandria | GGA-PBEsol | optimized geometry; SG = No. 187; uncorrected formation energy = 1.037 eV per atom; energy = -5.440 eV per atom
1.0
2.975 0.000 0.000
0.000 4.843 0.000
0.000 -2.421 4.194
K Si Ta
1 1 1
Direct
0.500 0.000 0.000
0.000 0.333 0.667
0.000 0.667 0.333